Below is ScNi2F8 after structural relaxation, with properties calculated at the PBE+U level.

Lattice parameters (Å, degrees): 3.1293 5.1045 10.3370 95.79 107.57 107.94
Last column: nearest neighbours and their distance in Å.
Sites, in units of the cell vectors:
F: 0.3061 0.2631 0.6756  2 Ni 1.95
F: 0.8220 0.2646 0.1891  1 Ni 1.90, 1 Sc 2.02
Ni: 0.1259 0.5253 0.3628  6 F 1.90-2.08
F: 0.5872 0.3089 0.4330  3 Ni 2.00-2.08
F: 0.0514 0.2169 0.9422  2 Sc 2.03
F: 0.1779 0.7354 0.8109  1 Ni 1.90, 1 Sc 2.02
Sc: 0.5000 0.0000 0.0000  6 F 2.02-2.03
F: 0.9486 0.7831 0.0578  2 Sc 2.03
F: 0.6939 0.7369 0.3244  2 Ni 1.95
Ni: 0.8741 0.4747 0.6372  6 F 1.90-2.08
F: 0.4128 0.6911 0.5670  3 Ni 2.00-2.08

The density is 3.6 g/cm3. As for the raw total energy: -4.937 eV per atom.